20
Lattice="7.3334 0.0000 0.0000 0.0000 5.8112 0.0000 -1.6776 0.0000 7.5935" Properties=species:S:1:pos:R:3 comment="ThNpN3 | Alexandria via LeMat-Bulk | PBE-GGA | optimized geometry" raw_formation_energy_ev_per_atom=-1.26 magmom_total_mub_per_fu=2.000 vol_a3_per_cell=324 final_energy_ev_per_cell=-206.584 pbc="T T T"
Th 0.8944 1.2643 1.3286
Th 0.0556 1.6413 5.1254
Th 5.6002 4.1699 2.4681
Th 4.7614 4.5469 6.2649
Np 2.2234 4.3231 3.0731
Np 1.3846 4.3937 6.8698
Np 4.2712 1.4175 0.7237
Np 3.4324 1.4881 4.5205
N 0.3670 3.1912 2.6011
N -0.4717 5.5256 6.3978
N 1.4089 0.4015 3.5592
N 0.5702 2.5041 7.3560
N 2.1000 3.2142 4.9855
N 2.9388 5.5026 1.1887
N 2.7171 0.3086 6.4048
N 3.5558 2.5970 2.6080
N 5.0857 3.3071 0.2375
N 4.2469 5.4097 4.0343
N 6.1276 0.2856 1.1957
N 5.2888 2.6200 4.9924



14
Lattice="1.7143 -5.7077 0.0000 1.7143 5.7077 0.0000 0.0000 0.0000 10.7325" Properties=species:S:1:pos:R:3 comment="ThNp2N4 | Alexandria via LeMat-Bulk | PBE-GGA | optimized geometry" raw_formation_energy_ev_per_atom=-1.26 magmom_total_mub_per_fu=5.843 vol_a3_per_cell=210 final_energy_ev_per_cell=-150.812 pbc="T T T"
Th 1.7143 4.4090 8.0494
Th 1.7143 -4.4090 2.6831
Np 1.7143 1.4912 6.1137
Np 1.7143 1.4912 9.9850
Np 1.7143 -1.4912 0.7474
Np 1.7143 -1.4912 4.6188
N 0.0000 0.0000 0.0000
N 0.0000 0.0000 5.3662
N 1.7143 2.5531 1.1665
N 1.7143 2.5531 4.1997
N 1.7143 0.4022 8.0494
N 1.7143 -0.4022 2.6831
N 1.7143 -2.5531 6.5328
N 1.7143 -2.5531 9.5660



16
Lattice="5.9100 -2.8276 0.0000 5.9100 2.8276 0.0000 -2.7739 0.0000 7.4267" Properties=species:S:1:pos:R:3 comment="Th2NpN5 | Alexandria via LeMat-Bulk | PBE-GGA | optimized geometry" raw_formation_energy_ev_per_atom=-1.37 magmom_total_mub_per_fu=0.000 vol_a3_per_cell=248 final_energy_ev_per_cell=-160.740 pbc="T T T"
Th 1.0856 0.1823 2.4506
Th -0.3013 -0.1823 6.1640
Th 9.3475 0.1823 1.2628
Th 7.9605 -0.1823 4.9761
Np 5.9100 0.0000 0.0000
Np 4.5231 0.0000 3.7134
N 2.9715 1.4118 2.9700
N 1.6599 1.3033 7.2002
N 3.8296 0.9632 5.5700
N 5.9993 1.3033 3.9398
N 7.4615 1.4118 0.7433
N 1.5846 -1.4118 6.6834
N 3.0468 -1.3033 3.4869
N 5.2165 -0.9632 1.8567
N 7.3863 -1.3033 0.2265
N 6.0746 -1.4118 4.4567



3
Lattice="-1.5452 1.5452 6.1218 1.5452 -1.5452 6.1218 1.5452 1.5452 -6.1218" Properties=species:S:1:pos:R:3 comment="ThNpN | Alexandria via LeMat-Bulk | PBE-GGA | optimized geometry" raw_formation_energy_ev_per_atom=-0.02 magmom_total_mub_per_fu=4.044 vol_a3_per_cell=58 final_energy_ev_per_cell=-28.757 pbc="T T T"
Th 0.0000 0.0000 0.0000
Np 0.0000 0.0000 9.2602
N 0.0000 0.0000 4.4841



80
Lattice="-6.8214 6.8214 6.8214 6.8214 -6.8214 6.8214 6.8214 6.8214 -6.8214" Properties=species:S:1:pos:R:3 comment="Th3Np5N12 | Alexandria via LeMat-Bulk | PBE-GGA | optimized geometry" raw_formation_energy_ev_per_atom=-1.14 magmom_total_mub_per_fu=10.993 vol_a3_per_cell=1270 final_energy_ev_per_cell=-838.556 pbc="T T T"
Th 3.4107 1.7053 0.0000
Th 6.8214 3.4107 -1.7053
Th 1.7053 0.0000 3.4107
Th 8.5267 0.0000 3.4107
Th 0.0000 3.4107 1.7053
Th 3.4107 -1.7053 6.8214
Th 3.4107 8.5267 0.0000
Th 6.8214 3.4107 5.1160
Th -1.7053 6.8214 3.4107
Th 5.1160 6.8214 3.4107
Th 0.0000 3.4107 8.5267
Th 3.4107 5.1160 6.8214
Np 0.0000 0.0000 0.0000
Np 3.4107 3.4107 -3.4107
Np 3.4107 -3.4107 3.4107
Np 6.8214 0.0000 0.0000
Np 10.2320 1.7053 0.0000
Np 6.8214 -3.4107 5.1160
Np 5.1160 6.8214 -3.4107
Np 5.1160 0.0000 3.4107
Np 3.4107 5.1160 0.0000
Np 6.8214 3.4107 1.7053
Np -3.4107 3.4107 3.4107
Np 0.0000 6.8214 0.0000
Np 0.0000 0.0000 6.8214
Np 3.4107 3.4107 3.4107
Np 0.0000 3.4107 5.1160
Np 3.4107 1.7053 6.8214
Np 1.7053 6.8214 3.4107
Np 1.7053 0.0000 10.2320
Np 0.0000 10.2320 1.7053
Np -3.4107 5.1160 6.8214
N 2.0259 -0.2895 0.7912
N 8.2061 4.2019 -3.7002
N 8.8473 0.2895 0.7912
N 8.2061 -2.6194 3.7002
N 6.5319 -0.7912 2.0259
N 10.5215 -1.3847 2.6194
N 0.7912 2.0259 -0.2895
N 9.4408 3.1212 -1.3847
N 4.2019 3.7002 -1.3847
N 6.0301 2.0259 0.2895
N -0.2895 0.7912 2.0259
N 3.7002 -1.3847 4.2019
N 6.5319 6.0301 -2.0259
N 3.7002 1.3847 2.6194
N 4.2019 -3.7002 8.2061
N 6.0301 -2.0259 6.5319
N 2.6194 3.7002 1.3847
N 7.6126 4.7954 0.2895
N 3.7002 8.2061 -2.6194
N 6.5319 0.7912 4.7954
N 2.0259 6.5319 -0.7912
N 8.2061 2.6194 3.1212
N 1.3847 2.6194 3.7002
N 2.0259 0.2895 6.0301
N 4.7954 6.5319 0.7912
N 5.4366 4.2019 3.1212
N -1.3847 4.2019 3.7002
N 4.7954 0.2895 7.6126
N 0.2895 6.0301 2.0259
N 3.1212 -1.3847 9.4408
N -0.7912 2.0259 6.5319
N 4.2019 3.1212 5.4366
N 0.7912 8.8473 0.2895
N 2.6194 10.5215 -1.3847
N 3.1212 5.4366 4.2019
N 0.2895 0.7912 8.8473
N 3.1212 8.2061 2.6194
N 7.1108 6.0301 4.7954
N 0.7912 4.7954 6.5319
N 2.6194 3.1212 8.2061
N -2.6194 3.7002 8.2061
N 6.0301 4.7954 7.1108
N -3.7002 8.2061 4.2019
N 0.2895 7.6126 4.7954
N -1.3847 9.4408 3.1212
N -2.0259 6.5319 6.0301
N -1.3847 2.6194 10.5215
N 4.7954 7.1108 6.0301



4
Lattice="3.0698 0.0000 0.0000 0.0000 3.0698 0.0000 0.0000 0.0000 6.1399" Properties=species:S:1:pos:R:3 comment="ThNpN2 | Alexandria via LeMat-Bulk | PBE-GGA | optimized geometry" raw_formation_energy_ev_per_atom=-0.58 magmom_total_mub_per_fu=3.931 vol_a3_per_cell=58 final_energy_ev_per_cell=-39.325 pbc="T T T"
Th 0.0000 0.0000 0.0000
Np 0.0000 0.0000 3.0699
N 1.5349 1.5349 1.5460
N 1.5349 1.5349 4.5939



4
Lattice="1.7156 0.9905 6.2547 -1.7156 0.9905 6.2547 0.0000 -1.9810 6.2547" Properties=species:S:1:pos:R:3 comment="ThNpN2 | Alexandria via LeMat-Bulk | PBE-GGA | optimized geometry" raw_formation_energy_ev_per_atom=-1.06 magmom_total_mub_per_fu=3.437 vol_a3_per_cell=64 final_energy_ev_per_cell=-41.253 pbc="T T T"
Th 0.0000 0.0000 0.0000
Np 0.0000 0.0000 15.5300
N 0.0000 0.0000 7.8271
N 0.0000 0.0000 10.7905



10
Lattice="6.0050 0.0000 0.0000 -3.0025 5.2004 0.0000 0.0000 0.0000 5.3792" Properties=species:S:1:pos:R:3 comment="ThNpN3 | Alexandria via LeMat-Bulk | PBE-GGA | optimized geometry" raw_formation_energy_ev_per_atom=-1.02 magmom_total_mub_per_fu=1.983 vol_a3_per_cell=168 final_energy_ev_per_cell=-100.869 pbc="T T T"
Th 0.0000 3.4670 1.3448
Th 3.0025 1.7335 4.0344
Np 0.0000 0.0000 1.3448
Np 0.0000 0.0000 4.0344
N -0.9007 1.5600 2.6896
N -2.1018 3.6405 0.0000
N 1.8013 0.0000 2.6896
N 0.9007 1.5600 0.0000
N 4.2036 0.0000 0.0000
N 2.1018 3.6405 2.6896



12
Lattice="3.0189 -5.2301 0.0000 3.0189 5.2301 0.0000 -2.0134 0.0000 5.6934" Properties=species:S:1:pos:R:3 comment="ThNp5N6 | Alexandria via LeMat-Bulk | PBE-GGA | optimized geometry" raw_formation_energy_ev_per_atom=-1.17 magmom_total_mub_per_fu=16.193 vol_a3_per_cell=180 final_energy_ev_per_cell=-136.062 pbc="T T T"
Th 0.0000 0.0000 0.0000
Np 2.0122 3.4978 2.8467
Np 3.0189 1.7486 0.0000
Np 2.0122 0.0000 2.8467
Np 3.0189 -1.7486 0.0000
Np 2.0122 -3.4978 2.8467
N 1.0483 1.8141 1.4786
N 0.0874 0.0000 4.2283
N 1.0483 -1.8141 1.4786
N 2.9761 1.8141 4.2148
N 3.9369 0.0000 1.4650
N 2.9761 -1.8141 4.2148